A plane-wave DFT calculation with PBE was carried out for an optimized crystal structure of BaLiTl5.

Summary:
Formation energy: -177 meV per atom
SG: P4/mmm
E: -2.42 eV per atom
Total magnetization: 0.00 μB per atom

a = 5.0506 Å, b = 5.0506 Å, c = 8.3650 Å
α = 90.00°, β = 90.00°, γ = 90.00°
Closest atoms and distances in Å follow each position.
Element x y z (fractional)
Li  0.0000  0.0000  0.5000  8 Tl 2.98
Tl  0.5000  0.0000  0.6900  2 Li 2.98, 1 Tl 3.18
Tl  0.5000  0.5000  0.0000  4 Ba 3.57, 8 Tl 3.62
Tl  0.0000  0.5000  0.3100  2 Li 2.98, 1 Tl 3.18
Tl  0.5000  0.0000  0.3100  2 Li 2.98, 1 Tl 3.18
Tl  0.0000  0.5000  0.6900  2 Li 2.98, 1 Tl 3.18
Ba  0.0000  0.0000  0.0000  12 Tl 3.57-3.62